Compound: Ta3TiAs
Source: Alexandria
Functional: PBE
Structure: relaxed

Values from the calculation:
E_form, eV/f.u.: 3.93
Raw total energy, eV/atom: -8.8345

Cell: 4.720 4.720 4.720 Å, 90.00 90.00 90.00°
Space group Pm-3m (No. 221)
Unique sites:
1 Ta 0.000 0.000 0.500 (multiplicity 3)
2 Ti 0.500 0.500 0.500 (multiplicity 1)
3 As 0.000 0.000 0.000 (multiplicity 1)

***

Compound: CaTb3Nd6Sm2
Source: Alexandria
Functional: PBE
Structure: relaxed

Values from the calculation:
E_form, eV/f.u.: 0.33
Raw total energy, eV/atom: -4.4676

Cell: 6.342 10.986 12.035 Å, 90.00 100.04 90.00°
Space group C2/m (No. 12)
Unique sites:
1 Ca 0.000 0.000 0.000 (multiplicity 2)
2 Tb 0.000 0.166 0.500 (multiplicity 4)
3 Tb 0.000 0.500 0.500 (multiplicity 2)
4 Nd 0.245 0.330 0.746 (multiplicity 8)
5 Nd 0.247 0.500 0.255 (multiplicity 4)
6 Sm 0.000 0.333 0.000 (multiplicity 4)

***

Compound: Hf6IrRh5
Source: Alexandria
Functional: PBE
Structure: relaxed

Values from the calculation:
E_form, eV/f.u.: -10.61
Raw total energy, eV/atom: -9.6622

Cell: 14.569 6.522 4.637 Å, 90.00 107.48 90.00°
Space group C2/m (No. 12)
Unique sites:
1 Hf 0.000 0.248 0.000 (multiplicity 4)
2 Hf 0.166 0.249 0.666 (multiplicity 8)
3 Ir 0.000 0.000 0.500 (multiplicity 2)
4 Rh 0.000 0.500 0.500 (multiplicity 2)
5 Rh 0.165 0.500 0.165 (multiplicity 4)
6 Rh 0.173 0.000 0.174 (multiplicity 4)

***

Compound: KVSb3
Source: Alexandria
Functional: PBE
Structure: relaxed

Values from the calculation:
Raw total energy, eV/atom: -4.5034
Formation energy (no corrections), eV per atom: 0.013

Cell: 5.258 5.258 5.258 Å, 90.00 90.00 90.00°
Space group Pm-3m (No. 221)
Unique sites:
1 K 0.000 0.000 0.000 (multiplicity 1)
2 V 0.500 0.500 0.500 (multiplicity 1)
3 Sb 0.000 0.500 0.500 (multiplicity 3)

***

Compound: LiTmAu
Source: Alexandria
Functional: PBE
Structure: relaxed

Values from the calculation:
E_form, eV/f.u.: -1.55
Raw total energy, eV/atom: -3.7360

Cell: 4.4605 4.4605 3.5564 Å, 90.00 90.00 120.00°
Space group P-6m2 (No. 187)
Unique sites:
1 Li 0.0000 0.0000 0.0000 (multiplicity 1)
2 Tm 0.6667 0.3333 0.5000 (multiplicity 1)
3 Au 0.3333 0.6667 0.0000 (multiplicity 1)

***

Compound: Dy8CuNi2
Source: Alexandria
Functional: PBE
Structure: relaxed

Values from the calculation:
E_form, eV/f.u.: -1.94
Raw total energy, eV/atom: -4.9470

Cell: 17.389 4.999 6.609 Å, 90.00 106.85 90.00°
Space group C2/m (No. 12)
Unique sites:
1 Dy 0.035 0.000 0.286 (multiplicity 4)
2 Dy 0.093 0.500 0.964 (multiplicity 4)
3 Dy 0.174 0.500 0.490 (multiplicity 4)
4 Dy 0.200 0.000 0.837 (multiplicity 4)
5 Cu 0.000 0.500 0.500 (multiplicity 2)
6 Ni 0.180 0.000 0.229 (multiplicity 4)

***

Compound: La4Cu
Source: Alexandria
Functional: PBE
Structure: relaxed

Values from the calculation:
E_form, eV/f.u.: 0.59
Raw total energy, eV/atom: -4.6442

Cell: 5.691 5.691 5.691 Å, 90.00 90.00 90.00°
Space group Pm-3m (No. 221)
Unique sites:
1 La 0.000 0.000 0.000 (multiplicity 1)
2 La 0.000 0.500 0.500 (multiplicity 3)
3 Cu 0.500 0.500 0.500 (multiplicity 1)

***

Compound: La2TaBr
Source: Alexandria
Functional: PBE
Structure: relaxed

Values from the calculation:
Raw total energy, eV/atom: -5.5976
Formation energy (no corrections), eV per atom: 0.247

Cell: 7.604 7.604 7.604 Å, 90.00 90.00 90.00°
Space group Fm-3m (No. 225)
Unique sites:
1 La 0.250 0.250 0.250 (multiplicity 8)
2 Ta 0.000 0.000 0.000 (multiplicity 4)
3 Br 0.000 0.000 0.500 (multiplicity 4)